Computed, not measured: a relaxed structure of RbMnTl at the PBE level of DFT.

a b c (Å): 15.1069 3.5654 6.9963
angles (deg): 90.00 98.36 90.00
With the nearest neighbours (Å) after each atom.
Space group C2/m (No. 12)
Inequivalent atoms, fractional coordinates:
Rb 0.1191 0.0000 0.3804 x4  2 Rb 3.57, 4 Mn 3.70-3.91, 4 Tl 3.84-3.86
Mn 0.2351 0.0000 0.9164 x4  2 Mn 2.14
Tl 0.0881 0.5000 0.8851 x4  3 Mn 2.83

Summary:
- N(E_F): 2.31 states/eV/f.u.
- Offset from the most stable computed form: 0.1674 eV/atom
- Formation energy from the elements: 0.54 eV per atom
- Mass density: 6143 kg/m³